# 1
## InMo (PBE)

Data for a relaxed structure of InMo.

polymorph energy (0 for the lowest one): 2.968 kcal/mol of atoms
symmetry: No. 12
V: 76.2 Å³/cell

Lattice parameters (Å, degrees): 5.4105 5.4105 4.8463 111.17 111.17 35.49
Fractional coordinates of all 4 atoms:
In1 0.1122 0.1122 0.3494
In2 0.8878 0.8878 0.6506
Mo1 0.3490 0.3490 0.1136
Mo2 0.6510 0.6510 0.8864

# 2
## HoTm2TaN4 (PBE)

Data for a relaxed structure of HoTm2TaN4.

formation energy without anion corrections: -1.61 eV/atom
symmetry: No. 10
V: 103.4 Å³/cell

Lattice parameters (Å, degrees): 5.7466 3.3091 5.7568 90.00 109.15 90.00
Fractional coordinates of all 8 atoms:
Ho1 0.0000 0.0000 0.0000
Tm1 0.5000 0.0000 0.5000
Tm2 0.5000 0.5000 0.0000
Ta1 0.0000 0.5000 0.5000
N1 0.2341 0.0000 0.7316
N2 0.2402 0.5000 0.2649
N3 0.7598 0.5000 0.7351
N4 0.7659 0.0000 0.2684

# 3
## Pm2DyTl3 (PBE)

Data for a relaxed structure of Pm2DyTl3.

polymorph energy (0 for the lowest one): 0.000 kcal/mol of atoms
symmetry: No. 123
V: 171.6 Å³/cell

Lattice parameters (Å, degrees): 3.8194 3.8194 11.7640 90.00 90.00 90.00
Fractional coordinates of all 6 atoms:
Pm1 0.0000 0.0000 0.1706
Pm2 0.0000 0.0000 0.8294
Dy1 0.0000 0.0000 0.5000
Tl1 0.5000 0.5000 0.0000
Tl2 0.5000 0.5000 0.3415
Tl3 0.5000 0.5000 0.6585

# 4
## TbPuAs2Pd2 (PBE)

Data for a relaxed structure of TbPuAs2Pd2.

energy: -7.439 eV/atom
symmetry: No. 164
V: 123.4 Å³/cell

Lattice parameters (Å, degrees): 4.3475 4.3475 7.5401 90.00 90.00 120.00
Fractional coordinates of all 6 atoms:
Tb1 0.0000 0.0000 0.0000
Pu1 0.0000 0.0000 0.5000
As1 0.3333 0.6667 0.7391
As2 0.6667 0.3333 0.2609
Pd1 0.3333 0.6667 0.2322
Pd2 0.6667 0.3333 0.7678